First-principles (PBE) data for an optimized crystal structure of Tl2ZnInHg8, as listed in Alexandria.

Calculated total energy: -0.0667 Ry per atom
Energy relative to the elements: 2.13 kJ/mol of atoms

a = 3.605 Å, b = 8.688 Å, c = 10.641 Å
α = 81.16°, β = 80.92°, γ = 81.41°
Space group P-1 (No. 2)
Symmetry-distinct sites (fractional):
Tl 0.097 0.025 0.263
Zn 0.000 0.500 0.000
In 0.000 0.500 0.500
Hg 0.222 0.311 0.766
Hg 0.334 0.833 0.998
Hg 0.426 0.809 0.509
Hg 0.431 0.383 0.217